Record 1
Computed, not measured: AgGeTe2I after structural relaxation at the PBE level of DFT.

Cell: 5.474 5.474 5.482 Å, 90.00 90.00 90.00°
Atoms (fractional coordinates):
Ag (0.000, 0.000, 0.000)
Ge (0.500, 0.500, 0.500)
Te (0.000, 0.500, 0.000)
Te (0.500, 0.000, 0.000)
I (0.000, 0.000, 0.500)

raw total energy = -12.48 eV per formula unit
raw formation energy = 0.56 eV per atom
offset from the most stable computed form = 10.5 kJ/mol of atoms
spin magnetization = 0.0 μB/cell

---

Record 2
Computed, not measured: AgGeTeI2 after structural relaxation at the PBE level of DFT.

Cell: 5.731 5.731 5.524 Å, 90.00 90.00 90.00°
Atoms (fractional coordinates):
Ag (0.000, 0.000, 0.000)
Ge (0.500, 0.500, 0.500)
Te (0.500, 0.500, 0.000)
I (0.000, 0.500, 0.500)
I (0.500, 0.000, 0.500)

raw total energy = -12.09 eV per formula unit
raw formation energy = 0.32 eV per atom
offset from the most stable computed form = 0.0 kJ/mol of atoms
spin magnetization = 0.0 μB/cell

---

Record 3
Computed, not measured: AgGeTeI after structural relaxation at the PBE level of DFT.

Cell: 13.668 13.668 13.668 Å, 21.04 21.04 21.04°
Atoms (fractional coordinates):
Ag (0.135, 0.135, 0.135)
Ag (0.865, 0.865, 0.865)
Ge (0.303, 0.303, 0.303)
Ge (0.697, 0.697, 0.697)
Te (0.373, 0.373, 0.373)
Te (0.627, 0.627, 0.627)
I (0.211, 0.211, 0.211)
I (0.789, 0.789, 0.789)

raw total energy = -12.38 eV per formula unit
raw formation energy = -0.05 eV per atom
spin magnetization = 0.0 μB/cell

---

Record 4
Computed, not measured: Ag5GeTe4I2 after structural relaxation at the PBE level of DFT.

Cell: 8.462 7.216 7.216 Å, 122.25 90.00 90.00°
Atoms (fractional coordinates):
Ag (0.000, 0.000, 0.000)
Ag (0.287, 0.329, 0.679)
Ag (0.287, 0.679, 0.329)
Ag (0.713, 0.329, 0.679)
Ag (0.713, 0.679, 0.329)
Ge (0.500, 0.054, 0.054)
Te (0.247, 0.267, 0.267)
Te (0.500, 0.014, 0.663)
Te (0.500, 0.663, 0.014)
Te (0.753, 0.267, 0.267)
I (0.000, 0.557, 0.899)
I (0.000, 0.899, 0.557)

raw total energy = -35.61 eV per formula unit
raw formation energy = -0.09 eV per atom
spin magnetization = 0.0 μB/cell

---

Record 5
Computed, not measured: AgGeTe2I after structural relaxation at the PBE level of DFT.

Cell: 5.438 5.438 5.786 Å, 90.00 90.00 90.00°
Atoms (fractional coordinates):
Ag (0.000, 0.000, 0.000)
Ge (0.500, 0.500, 0.500)
Te (0.000, 0.500, 0.500)
Te (0.500, 0.000, 0.500)
I (0.500, 0.500, 0.000)

raw total energy = -13.03 eV per formula unit
raw formation energy = 0.45 eV per atom
offset from the most stable computed form = 0.0 kJ/mol of atoms
spin magnetization = 0.0 μB/cell

---

Record 6
Computed, not measured: AgGeTeI2 after structural relaxation at the PBE level of DFT.

Cell: 5.533 5.533 5.623 Å, 90.00 90.00 90.00°
Atoms (fractional coordinates):
Ag (0.000, 0.000, 0.000)
Ge (0.500, 0.500, 0.500)
Te (0.000, 0.000, 0.500)
I (0.000, 0.500, 0.000)
I (0.500, 0.000, 0.000)

raw total energy = -11.36 eV per formula unit
raw formation energy = 0.47 eV per atom
offset from the most stable computed form = 14.0 kJ/mol of atoms
spin magnetization = 0.0 μB/cell

---

Record 7
Computed, not measured: Tl2Ag2GeI6 after structural relaxation at the PBE level of DFT.

Cell: 8.604 8.604 8.197 Å, 116.89 116.89 59.41°
Atoms (fractional coordinates):
Tl (0.245, 0.245, 0.188)
Tl (0.755, 0.755, 0.812)
Ag (0.439, 0.439, 0.786)
Ag (0.561, 0.561, 0.214)
Ge (0.000, 0.000, 0.500)
I (0.181, 0.690, 0.190)
I (0.222, 0.222, 0.589)
I (0.310, 0.819, 0.810)
I (0.690, 0.181, 0.190)
I (0.778, 0.778, 0.411)
I (0.819, 0.310, 0.810)

raw total energy = -28.26 eV per formula unit
raw formation energy = -0.35 eV per atom
spin magnetization = 0.0 μB/cell

---

Record 8
Computed, not measured: Tl3Ag3GeI8 after structural relaxation at the PBE level of DFT.

Cell: 9.004 9.004 9.578 Å, 118.01 118.01 59.94°
Atoms (fractional coordinates):
Tl (0.000, 0.000, 0.000)
Tl (0.000, 0.500, 0.000)
Tl (0.500, 0.000, 0.000)
Ag (0.000, 0.500, 0.500)
Ag (0.500, 0.000, 0.500)
Ag (0.500, 0.500, 0.500)
Ge (0.000, 0.000, 0.500)
I (0.234, 0.234, 0.707)
I (0.234, 0.738, 0.707)
I (0.262, 0.766, 0.293)
I (0.264, 0.264, 0.294)
I (0.736, 0.736, 0.706)
I (0.738, 0.234, 0.707)
I (0.766, 0.262, 0.293)
I (0.766, 0.766, 0.293)

raw total energy = -38.41 eV per formula unit
raw formation energy = -0.38 eV per atom
spin magnetization = 0.0 μB/cell

---

Record 9
Computed, not measured: Tl2AgGeI5 after structural relaxation at the PBE level of DFT.

Cell: 10.562 10.562 15.107 Å, 90.00 90.00 155.22°
Atoms (fractional coordinates):
Tl (0.092, 0.908, 0.500)
Tl (0.128, 0.872, 0.131)
Tl (0.872, 0.128, 0.631)
Tl (0.908, 0.092, 0.000)
Ag (0.433, 0.567, 0.285)
Ag (0.567, 0.433, 0.785)
Ge (0.222, 0.778, 0.859)
Ge (0.778, 0.222, 0.359)
I (0.060, 0.940, 0.897)
I (0.271, 0.729, 0.497)
I (0.296, 0.704, 0.225)
I (0.358, 0.642, 0.829)
I (0.500, 0.500, 0.124)
I (0.500, 0.500, 0.624)
I (0.642, 0.358, 0.329)
I (0.704, 0.296, 0.725)
I (0.729, 0.271, 0.997)
I (0.940, 0.060, 0.397)

raw total energy = -23.97 eV per formula unit
raw formation energy = -0.45 eV per atom
spin magnetization = 0.0 μB/cell

---

Record 10
Computed, not measured: ZnAgGe2I after structural relaxation at the PBE level of DFT.

Cell: 5.026 5.026 5.987 Å, 90.00 90.00 90.00°
Atoms (fractional coordinates):
Zn (0.000, 0.000, 0.000)
Ag (0.500, 0.500, 0.500)
Ge (0.000, 0.500, 0.500)
Ge (0.500, 0.000, 0.500)
I (0.500, 0.500, 0.000)

raw total energy = -11.44 eV per formula unit
raw formation energy = 0.69 eV per atom
spin magnetization = 0.0 μB/cell

---

Record 11
Computed, not measured: InAg3Ge after structural relaxation at the PBE level of DFT.

Cell: 4.987 4.987 4.987 Å, 90.00 90.00 90.00°
Atoms (fractional coordinates):
In (0.000, 0.000, 0.000)
Ag (0.000, 0.500, 0.500)
Ag (0.500, 0.000, 0.500)
Ag (0.500, 0.500, 0.000)
Ge (0.500, 0.500, 0.500)

raw total energy = -14.41 eV per formula unit
offset from the most stable computed form = 0.0 kJ/mol of atoms
spin magnetization = 0.0 μB/cell

---

Record 12
Computed, not measured: InAg2Ge2 after structural relaxation at the PBE level of DFT.

Cell: 8.312 8.312 2.979 Å, 90.00 90.00 90.00°
Atoms (fractional coordinates):
In (0.000, 0.000, 0.000)
In (0.500, 0.500, 0.000)
Ag (0.156, 0.344, 0.000)
Ag (0.344, 0.844, 0.000)
Ag (0.656, 0.156, 0.000)
Ag (0.844, 0.656, 0.000)
Ge (0.140, 0.640, 0.500)
Ge (0.360, 0.140, 0.500)
Ge (0.640, 0.860, 0.500)
Ge (0.860, 0.360, 0.500)

raw total energy = -16.78 eV per formula unit
offset from the most stable computed form = 0.0 kJ/mol of atoms
spin magnetization = 0.0 μB/cell

---

Record 13
Computed, not measured: In2AgGe2 after structural relaxation at the PBE level of DFT.

Cell: 6.318 6.318 6.318 Å, 134.98 134.98 65.56°
Atoms (fractional coordinates):
In (0.250, 0.750, 0.500)
In (0.750, 0.250, 0.500)
Ag (0.000, 0.000, 0.000)
Ge (0.386, 0.386, 0.000)
Ge (0.614, 0.614, 0.000)

raw total energy = -15.95 eV per formula unit
offset from the most stable computed form = 16.2 kJ/mol of atoms
spin magnetization = 0.0 μB/cell

---

Record 14
Computed, not measured: InAg4Ge after structural relaxation at the PBE level of DFT.

Cell: 5.550 5.550 5.550 Å, 60.00 60.00 60.00°
Atoms (fractional coordinates):
In (0.000, 0.000, 0.000)
Ag (0.125, 0.625, 0.625)
Ag (0.625, 0.125, 0.625)
Ag (0.625, 0.625, 0.125)
Ag (0.625, 0.625, 0.625)
Ge (0.250, 0.250, 0.250)

raw total energy = -17.70 eV per formula unit
spin magnetization = 0.0 μB/cell

---

Record 15
Computed, not measured: In2Ag2Ge after structural relaxation at the PBE level of DFT.

Cell: 8.051 8.051 8.051 Å, 152.23 152.23 39.68°
Atoms (fractional coordinates):
In (0.100, 0.100, 0.000)
In (0.900, 0.900, 0.000)
Ag (0.250, 0.750, 0.500)
Ag (0.750, 0.250, 0.500)
Ge (0.500, 0.500, 0.000)

raw total energy = -14.91 eV per formula unit
offset from the most stable computed form = 2.6 kJ/mol of atoms
spin magnetization = 0.0 μB/cell

---

Record 16
Computed, not measured: In2AgGe2 after structural relaxation at the PBE level of DFT.

Cell: 7.060 7.060 4.578 Å, 90.00 90.00 90.00°
Atoms (fractional coordinates):
In (0.176, 0.324, 0.000)
In (0.324, 0.824, 0.000)
In (0.676, 0.176, 0.000)
In (0.824, 0.676, 0.000)
Ag (0.000, 0.000, 0.500)
Ag (0.500, 0.500, 0.500)
Ge (0.133, 0.633, 0.500)
Ge (0.367, 0.133, 0.500)
Ge (0.633, 0.867, 0.500)
Ge (0.867, 0.367, 0.500)

raw total energy = -16.79 eV per formula unit
offset from the most stable computed form = 0.0 kJ/mol of atoms
spin magnetization = 0.0 μB/cell

---

Record 17
Computed, not measured: InAg3Ge after structural relaxation at the PBE level of DFT.

Cell: 5.143 5.143 5.143 Å, 90.00 90.00 90.00°
Atoms (fractional coordinates):
In (0.000, 0.000, 0.000)
Ag (0.000, 0.000, 0.500)
Ag (0.000, 0.500, 0.000)
Ag (0.500, 0.000, 0.000)
Ge (0.500, 0.500, 0.500)

raw total energy = -12.08 eV per formula unit
offset from the most stable computed form = 45.0 kJ/mol of atoms
spin magnetization = 0.0 μB/cell

---

Record 18
Computed, not measured: In2AgGe after structural relaxation at the PBE level of DFT.

Cell: 10.361 10.361 10.361 Å, 155.70 155.70 34.63°
Atoms (fractional coordinates):
In (0.121, 0.625, 0.996)
In (0.375, 0.371, 0.496)
In (0.629, 0.125, 0.004)
In (0.875, 0.879, 0.504)
Ag (0.000, 0.000, 0.000)
Ag (0.750, 0.250, 0.500)
Ge (0.250, 0.750, 0.500)
Ge (0.500, 0.500, 0.000)

raw total energy = -12.20 eV per formula unit
spin magnetization = 0.0 μB/cell

---

Record 19
Computed, not measured: In2Ag2Ge after structural relaxation at the PBE level of DFT.

Cell: 7.205 7.205 4.302 Å, 90.00 90.00 90.00°
Atoms (fractional coordinates):
In (0.167, 0.333, 0.000)
In (0.333, 0.833, 0.000)
In (0.667, 0.167, 0.000)
In (0.833, 0.667, 0.000)
Ag (0.139, 0.639, 0.500)
Ag (0.361, 0.139, 0.500)
Ag (0.639, 0.861, 0.500)
Ag (0.861, 0.361, 0.500)
Ge (0.000, 0.000, 0.500)
Ge (0.500, 0.500, 0.500)

raw total energy = -15.05 eV per formula unit
offset from the most stable computed form = 0.0 kJ/mol of atoms
spin magnetization = 0.0 μB/cell

---

Record 20
Computed, not measured: InAg2Ge2 after structural relaxation at the PBE level of DFT.

Cell: 8.408 8.408 2.914 Å, 90.00 90.00 90.00°
Atoms (fractional coordinates):
In (0.000, 0.000, 0.000)
In (0.500, 0.500, 0.000)
Ag (0.175, 0.325, 0.500)
Ag (0.325, 0.825, 0.500)
Ag (0.675, 0.175, 0.500)
Ag (0.825, 0.675, 0.500)
Ge (0.120, 0.620, 0.000)
Ge (0.380, 0.120, 0.000)
Ge (0.620, 0.880, 0.000)
Ge (0.880, 0.380, 0.000)

raw total energy = -16.77 eV per formula unit
offset from the most stable computed form = 0.1 kJ/mol of atoms
spin magnetization = 0.0 μB/cell